w:
Below is a relaxed LiTlO2 crystal, with properties calculated at the GGA-PBEsol level. Values from VASP.

Cell and atoms, written as Quantum ESPRESSO input:
```
&SYSTEM
  ibrav = 0, nat = 4, ntyp = 3
/
ATOMIC_SPECIES
Li 6.94 Li.upf
Tl 204.38 Tl.upf
O 16.00 O.upf
CELL_PARAMETERS angstrom
3.3166 0.0000 0.0000
0.0000 3.3166 0.0000
0.0000 0.0000 4.2705
ATOMIC_POSITIONS angstrom
Li 0.0000 0.0000 0.0000
Tl 1.6583 1.6583 2.1353
O 0.0000 0.0000 2.1353
O 1.6583 1.6583 0.0000
```



x:
Below is a relaxed LiTlO2 crystal, with properties calculated at the GGA-PBEsol level. Values from VASP.

Cell and atoms, written as Quantum ESPRESSO input:
```
&SYSTEM
  ibrav = 0, nat = 8, ntyp = 3
/
ATOMIC_SPECIES
Li 6.94 Li.upf
Tl 204.38 Tl.upf
O 16.00 O.upf
CELL_PARAMETERS angstrom
-2.3427 2.3427 4.9695
2.3427 -2.3427 4.9695
2.3427 2.3427 -4.9695
ATOMIC_POSITIONS angstrom
Li 0.0000 0.0000 0.0000
Li 0.0000 2.3427 2.4847
Tl 2.3427 0.0000 2.4847
Tl 0.0000 0.0000 4.9695
O 3.5141 1.0159 -1.2424
O 1.0159 1.1714 1.2424
O -1.1714 1.3268 3.7271
O 1.3268 1.1714 6.2119
```



Relative calculated energies, zero for the most stable structure, unit meV per atom: w 43; x 0.



w:
Below is a relaxed LiV2O4 crystal, with properties calculated at the GGA-PBEsol level. Values from VASP.

Cell and atoms, written as Quantum ESPRESSO input:
```
&SYSTEM
  ibrav = 0, nat = 14, ntyp = 3
/
ATOMIC_SPECIES
Li 6.94 Li.upf
V 50.94 V.upf
O 16.00 O.upf
CELL_PARAMETERS angstrom
0.0000 4.0726 4.0726
4.0726 0.0000 4.0726
4.0726 4.0726 0.0000
ATOMIC_POSITIONS angstrom
Li 1.0182 1.0182 1.0182
Li 7.1271 7.1271 7.1271
V 4.0726 2.0363 2.0363
V 2.0363 4.0726 2.0363
V 2.0363 2.0363 4.0726
V 4.0726 4.0726 4.0726
O 2.1147 2.1147 2.1147
O 3.9942 3.9942 2.1147
O 3.9942 2.1147 3.9942
O 6.0305 4.1510 4.1510
O 2.1147 3.9942 3.9942
O 4.1510 6.0305 4.1510
O 4.1510 4.1510 6.0305
O 6.0305 6.0305 6.0305
```



x:
Below is a relaxed LiV2O4 crystal, with properties calculated at the GGA-PBEsol level. Values from VASP.

Cell and atoms, written as Quantum ESPRESSO input:
```
&SYSTEM
  ibrav = 0, nat = 14, ntyp = 3
/
ATOMIC_SPECIES
Li 6.94 Li.upf
V 50.94 V.upf
O 16.00 O.upf
CELL_PARAMETERS angstrom
4.9598 0.0000 0.0000
0.0000 5.7092 0.0000
-0.3121 0.0000 5.2306
ATOMIC_POSITIONS angstrom
Li 0.9208 1.4273 2.3283
Li 3.7269 4.2819 2.9023
V 0.0000 0.0000 0.0000
V 0.0000 2.8546 0.0000
V 2.4054 4.2819 0.0506
V 2.2423 1.4273 5.1800
O 0.4677 4.2819 4.1678
O 0.5477 1.4273 4.1832
O 1.6494 0.0449 1.0536
O 1.6494 2.8097 1.0536
O 2.9983 2.8995 4.1770
O 2.9983 5.6643 4.1770
O 4.1000 4.2819 1.0474
O 4.1800 1.4273 1.0628
```



Relative calculated energies, zero for the most stable structure, unit meV per atom: w 0; x 51.



w:
Below is a relaxed Li2V5O10 crystal, with properties calculated at the GGA-PBEsol level. Values from VASP.

Cell and atoms, written as Quantum ESPRESSO input:
```
&SYSTEM
  ibrav = 0, nat = 17, ntyp = 3
/
ATOMIC_SPECIES
Li 6.94 Li.upf
V 50.94 V.upf
O 16.00 O.upf
CELL_PARAMETERS angstrom
4.8714 0.0000 0.0000
0.8762 4.8411 0.0000
1.8796 1.5137 7.1998
ATOMIC_POSITIONS angstrom
Li 1.7401 2.4980 0.7384
Li 5.8872 3.8568 6.4614
V 1.3779 3.1774 3.5999
V 2.8660 6.0318 5.9406
V 3.2232 5.4202 2.8829
V 4.4040 0.9346 4.3168
V 4.7612 0.3230 1.2591
O 2.1107 4.7537 4.5630
O 2.5490 2.6246 7.0601
O 2.1233 4.0234 1.9982
O 2.8899 2.0605 4.0642
O 4.4827 5.1493 5.8293
O 3.1445 1.2055 1.3704
O 4.7373 4.2943 3.1356
O 5.5039 2.3314 5.2016
O 5.0782 3.7302 0.1397
O 5.5165 1.6011 2.6367
```



x:
Below is a relaxed Li2V5O10 crystal, with properties calculated at the GGA-PBEsol level. Values from VASP.

Cell and atoms, written as Quantum ESPRESSO input:
```
&SYSTEM
  ibrav = 0, nat = 34, ntyp = 3
/
ATOMIC_SPECIES
Li 6.94 Li.upf
V 50.94 V.upf
O 16.00 O.upf
CELL_PARAMETERS angstrom
4.8375 0.0000 0.0000
0.8601 4.8599 0.0000
1.5878 1.0556 13.6415
ATOMIC_POSITIONS angstrom
Li 1.0862 1.7929 6.3705
Li 2.5111 1.0920 0.5908
Li 4.7743 4.8235 13.0508
Li 6.1992 4.1226 7.2711
V 2.3066 3.2968 12.4710
V 2.2541 0.8744 10.7527
V 1.9109 1.3404 3.4557
V 3.0005 2.9078 9.3921
V 2.9728 0.7187 8.2168
V 4.3126 5.1968 5.4248
V 4.2848 3.0076 4.2494
V 5.3744 4.5751 10.1859
V 5.0313 5.0411 2.8889
V 4.9788 2.6187 1.1706
O 0.9306 3.2019 3.0799
O 2.2303 4.8542 9.2041
O 0.9257 0.9644 1.8633
O 2.1347 2.4143 7.9179
O 1.6799 2.9415 0.2160
O 2.9598 4.9549 6.5608
O 2.9771 1.6593 12.3904
O 2.7712 2.1428 4.9849
O 3.8083 3.9978 11.1540
O 3.2834 4.4716 3.7956
O 4.0020 1.4439 9.8459
O 3.4771 1.9176 2.4875
O 4.5142 3.7727 8.6566
O 4.3082 4.2561 1.2511
O 4.3256 0.9605 7.0808
O 5.6055 2.9739 13.4255
O 5.1507 3.5012 5.7237
O 6.3597 4.9511 11.7783
O 5.0551 1.0613 4.4375
O 6.3548 2.7136 10.5617
```



Relative calculated energies, zero for the most stable structure, unit meV per atom: w 34; x 0.